Record 1
# Tb5Hg | the Alexandria database | GGA-PBE | optimized geometry
data_Tb5Hg
_chemical_formula_sum 'Tb5 Hg1'
_symmetry_space_group_name_H-M 'P 4/m m m'
_symmetry_Int_Tables_number 123
_symmetry_space_group_name_Hall '-P 4 2'
_cell_length_a 3.5862
_cell_length_b 3.5862
_cell_length_c 14.0541
_cell_angle_alpha 90.00
_cell_angle_beta 90.00
_cell_angle_gamma 90.00
loop_
_atom_site_label
_atom_site_type_symbol
_atom_site_fract_x
_atom_site_fract_y
_atom_site_fract_z
_atom_site_occupancy
Tb1 Tb 0.0000 0.0000 0.0000 1
Tb2 Tb 0.0000 0.0000 0.3564 1
Tb3 Tb 0.5000 0.5000 0.1781 1
Hg1 Hg 0.5000 0.5000 0.5000 1
# Size of the total moment, μB/f.u.: 0.00
# E, eV/atom: -4.05
# ΔE to the lowest computed polymorph, kJ/mol of formula units: 0
# Formation enthalpy at 0 K, eV/atom: -0.1453



Record 2
# NaTl2CdIr | the Alexandria database | GGA-PBE | optimized geometry
data_NaTl2CdIr
_chemical_formula_sum 'Na1 Tl2 Cd1 Ir1'
_symmetry_space_group_name_H-M 'P 4/m m m'
_symmetry_Int_Tables_number 123
_symmetry_space_group_name_Hall '-P 4 2'
_cell_length_a 5.2812
_cell_length_b 5.2812
_cell_length_c 5.3280
_cell_angle_alpha 90.00
_cell_angle_beta 90.00
_cell_angle_gamma 90.00
loop_
_atom_site_label
_atom_site_type_symbol
_atom_site_fract_x
_atom_site_fract_y
_atom_site_fract_z
_atom_site_occupancy
Na1 Na 0.0000 0.0000 0.0000 1
Tl1 Tl 0.0000 0.5000 0.5000 1
Cd1 Cd 0.5000 0.5000 0.0000 1
Ir1 Ir 0.5000 0.5000 0.5000 1
# Size of the total moment, μB/f.u.: 0.00
# E, eV/atom: -3.10
# Formation enthalpy at 0 K, eV/atom: 0.0612



Record 3
# TcOs2Au | the Alexandria database | GGA-PBE | optimized geometry
data_TcOs2Au
_chemical_formula_sum 'Tc2 Os4 Au2'
_symmetry_space_group_name_H-M 'I m m 2'
_symmetry_Int_Tables_number 44
_cell_length_a 2.7333
_cell_length_b 4.4970
_cell_length_c 10.6580
_cell_angle_alpha 90.00
_cell_angle_beta 90.00
_cell_angle_gamma 90.00
loop_
_symmetry_equiv_pos_as_xyz
'x,y,z'
'-x,-y,z'
'-x,y,z'
'x,-y,z'
'x+1/2,y+1/2,z+1/2'
'-x+1/2,-y+1/2,z+1/2'
'-x+1/2,y+1/2,z+1/2'
'x+1/2,-y+1/2,z+1/2'
loop_
_atom_site_label
_atom_site_type_symbol
_atom_site_fract_x
_atom_site_fract_y
_atom_site_fract_z
_atom_site_occupancy
Tc1 Tc 0.0000 0.0000 0.0000 1
Os1 Os 0.0000 0.0000 0.4230 1
Os2 Os 0.0000 0.5000 0.7214 1
Au1 Au 0.0000 0.5000 0.1702 1
# Size of the total moment, μB/f.u.: 0.00
# E, eV/atom: -8.45
# ΔE to the lowest computed polymorph, kJ/mol of formula units: 128
# Formation enthalpy at 0 K, eV/atom: 0.5752



Record 4
# Li3OsO6 | the Alexandria database | GGA-PBE | optimized geometry
data_Li3OsO6
_chemical_formula_sum 'Li6 Os2 O12'
_symmetry_space_group_name_H-M 'C 1 2/m 1'
_symmetry_Int_Tables_number 12
_cell_length_a 9.1191
_cell_length_b 5.4600
_cell_length_c 5.0248
_cell_angle_alpha 90.00
_cell_angle_beta 122.19
_cell_angle_gamma 90.00
loop_
_symmetry_equiv_pos_as_xyz
'x,y,z'
'-x,-y,-z'
'-x,y,-z'
'x,-y,z'
'x+1/2,y+1/2,z'
'-x+1/2,-y+1/2,-z'
'-x+1/2,y+1/2,-z'
'x+1/2,-y+1/2,z'
loop_
_atom_site_label
_atom_site_type_symbol
_atom_site_fract_x
_atom_site_fract_y
_atom_site_fract_z
_atom_site_occupancy
Li1 Li 0.0000 0.0000 0.0000 1
Li2 Li 0.2474 0.0000 0.8176 1
Os1 Os 0.0000 0.5000 0.5000 1
O1 O 0.0808 0.2601 0.8112 1
O2 O 0.2149 0.5000 0.5344 1
# Size of the total moment, μB/f.u.: 1.03
# E, eV/atom: -5.94
# Formation energy from raw total energies, eV per atom: -1.268